This record from Alexandria via LeMat-Bulk describes a relaxed Li2Tl3NiF8 crystal. The functional is PBE+U.

## Properties
Total magnetization in μB/f.u.: 2.42
E in eV/atom: -4.16

Structure (CIF):
```
data_Li2Tl3NiF8
_chemical_formula_sum 'Li2 Tl3 Ni1 F8'
_cell_length_a 5.7440
_cell_length_b 5.7440
_cell_length_c 7.4510
_cell_angle_alpha 90.00
_cell_angle_beta 90.00
_cell_angle_gamma 120.00
_symmetry_space_group_name_H-M 'P -3 m 1'
_symmetry_Int_Tables_number 164
_symmetry_space_group_name_Hall '-P 3 2"'
loop_
_atom_site_label
_atom_site_type_symbol
_atom_site_fract_x
_atom_site_fract_y
_atom_site_fract_z
Li1 Li 0.3333 0.6667 0.2217
Tl1 Tl 0.0000 0.0000 0.0000
Tl2 Tl 0.3333 0.6667 0.6623
Ni1 Ni 0.0000 0.0000 0.5000
F1 F 0.1636 0.3272 0.3379
F2 F 0.3333 0.6667 0.9759
```